Record 1
A relaxed structure of GaCuMo2. Source: the Open Quantum Materials Database, functional PBE.

POSCAR file:
```
GaCuMo2
1.0
0.0000 3.0925 3.0925
3.0925 0.0000 3.0925
3.0925 3.0925 0.0000
Ga Cu Mo
1 1 2
Cartesian
0.0000 0.0000 0.0000
1.5463 1.5463 1.5463
3.0925 3.0925 3.0925
4.6388 4.6388 4.6388
```


Record 2
A relaxed structure of GaCuMo. Source: the Open Quantum Materials Database, functional PBE.

POSCAR file:
```
GaCuMo
1.0
0.0000 2.9688 2.9688
2.9688 0.0000 2.9688
2.9688 2.9688 0.0000
Ga Cu Mo
1 1 1
Cartesian
0.0000 0.0000 0.0000
2.9688 2.9688 2.9688
4.4532 4.4532 4.4532
```


Record 3
A relaxed structure of GaCuMo4N2. Source: the Open Quantum Materials Database, functional PBE.

POSCAR file:
```
GaCuMo4N2
1.0
2.8375 0.0000 0.0000
-1.4188 2.4574 0.0000
0.0000 0.0000 14.5308
Ga Cu Mo N
1 1 4 2
Cartesian
0.0000 0.0000 0.0000
1.4188 0.8191 7.2654
0.0000 0.0000 5.0613
0.0000 0.0000 9.4695
1.4188 0.8191 2.2398
1.4188 0.8191 12.2910
0.0000 1.6382 3.6441
0.0000 1.6382 10.8867
```


Record 4
A relaxed structure of NbGaCuMo. Source: the Open Quantum Materials Database, functional PBE.

POSCAR file:
```
NbGaCuMo
1.0
0.0000 3.1424 3.1424
3.1424 0.0000 3.1424
3.1424 3.1424 0.0000
Nb Ga Cu Mo
1 1 1 1
Cartesian
0.0000 0.0000 0.0000
3.1424 3.1424 3.1424
4.7137 4.7137 4.7137
1.5712 1.5712 1.5712
```


Record 5
A relaxed structure of GaCuMoOs. Source: the Open Quantum Materials Database, functional PBE.

POSCAR file:
```
GaCuMoOs
1.0
0.0000 3.0324 3.0324
3.0324 0.0000 3.0324
3.0324 3.0324 0.0000
Ga Cu Mo Os
1 1 1 1
Cartesian
0.0000 0.0000 0.0000
3.0324 3.0324 3.0324
1.5162 1.5162 1.5162
4.5486 4.5486 4.5486
```


Record 6
A relaxed structure of GaCuMoOs. Source: the Open Quantum Materials Database, functional PBE.

POSCAR file:
```
GaCuMoOs
1.0
0.0000 3.0573 3.0573
3.0573 0.0000 3.0573
3.0573 3.0573 0.0000
Ga Cu Mo Os
1 1 1 1
Cartesian
0.0000 0.0000 0.0000
4.5859 4.5859 4.5859
3.0573 3.0573 3.0573
1.5286 1.5286 1.5286
```


Record 7
A relaxed structure of GaCuMoPt. Source: the Open Quantum Materials Database, functional PBE.

POSCAR file:
```
GaCuMoPt
1.0
0.0000 3.0968 3.0968
3.0968 0.0000 3.0968
3.0968 3.0968 0.0000
Ga Cu Mo Pt
1 1 1 1
Cartesian
0.0000 0.0000 0.0000
1.5484 1.5484 1.5484
4.6452 4.6452 4.6452
3.0968 3.0968 3.0968
```


Record 8
A relaxed structure of ScGaCuMo. Source: the Open Quantum Materials Database, functional PBE.

POSCAR file:
```
ScGaCuMo
1.0
0.0000 3.1666 3.1666
3.1666 0.0000 3.1666
3.1666 3.1666 0.0000
Sc Ga Cu Mo
1 1 1 1
Cartesian
0.0000 0.0000 0.0000
3.1666 3.1666 3.1666
4.7499 4.7499 4.7499
1.5833 1.5833 1.5833
```


Record 9
A relaxed structure of TaGaCuMo. Source: the Open Quantum Materials Database, functional PBE.

POSCAR file:
```
TaGaCuMo
1.0
0.0000 3.1383 3.1383
3.1383 0.0000 3.1383
3.1383 3.1383 0.0000
Ta Ga Cu Mo
1 1 1 1
Cartesian
0.0000 0.0000 0.0000
3.1383 3.1383 3.1383
4.7074 4.7074 4.7074
1.5691 1.5691 1.5691
```


Record 10
A relaxed structure of GaCuTcMo. Source: the Open Quantum Materials Database, functional PBE.

POSCAR file:
```
GaCuTcMo
1.0
0.0000 3.0650 3.0650
3.0650 0.0000 3.0650
3.0650 3.0650 0.0000
Ga Cu Tc Mo
1 1 1 1
Cartesian
0.0000 0.0000 0.0000
1.5325 1.5325 1.5325
4.5975 4.5975 4.5975
3.0650 3.0650 3.0650
```


Record 11
A relaxed structure of Nb4GaCuN2. Source: the Open Quantum Materials Database, functional PBE.

POSCAR file:
```
Nb4GaCuN2
1.0
3.1648 0.0000 0.0000
-1.5824 2.7408 0.0000
0.0000 0.0000 13.1021
Nb Ga Cu N
4 1 1 2
Cartesian
0.0000 0.0000 2.0655
0.0000 0.0000 11.0366
0.0000 1.8272 4.3971
0.0000 1.8272 8.7050
0.0000 0.0000 6.5511
0.0000 1.8272 0.0000
1.5824 0.9136 3.2027
1.5824 0.9136 9.8994
```


Record 12
A relaxed structure of Sr8Ga4Cu3N5. Source: the Open Quantum Materials Database, functional PBE.

POSCAR file:
```
Sr8Ga4Cu3N5
1.0
-1.9088 6.0286 9.1673
1.9088 -6.0286 9.1673
1.9088 6.0286 -9.1673
Sr Ga Cu N
8 4 3 5
Cartesian
1.9088 4.3054 -5.3570
1.9088 4.0606 -1.7556
0.0000 1.7232 3.8103
1.9088 4.0606 1.7556
0.0000 1.9681 7.4117
1.9088 4.3054 5.3570
0.0000 1.9681 10.9229
0.0000 1.7232 14.5243
1.9088 0.0000 1.4119
0.0000 1.4661 0.0000
0.0000 10.5912 0.0000
0.0000 6.0286 7.7554
1.9088 0.0000 5.7183
0.0000 6.0286 0.0000
0.0000 6.0286 3.4490
1.9088 -1.8670 5.6421
1.9088 1.8670 5.6421
0.0000 0.0000 9.1673
0.0000 4.1616 3.5252
0.0000 7.8956 3.5252
```


Record 13
A relaxed structure of Ta4GaCuN2. Source: the Open Quantum Materials Database, functional PBE.

POSCAR file:
```
Ta4GaCuN2
1.0
3.1152 0.0000 0.0000
-1.5576 2.6978 0.0000
0.0000 0.0000 13.2072
Ta Ga Cu N
4 1 1 2
Cartesian
0.0000 0.0000 2.0655
0.0000 0.0000 11.1417
0.0000 1.7985 4.4561
0.0000 1.7985 8.7510
0.0000 0.0000 6.6036
0.0000 1.7985 0.0000
1.5576 0.8993 3.2380
1.5576 0.8993 9.9692
```


Record 14
A relaxed structure of GaCuW4N2. Source: the Open Quantum Materials Database, functional PBE.

POSCAR file:
```
GaCuW4N2
1.0
2.8236 0.0000 0.0000
-1.4118 2.4453 0.0000
0.0000 0.0000 14.7373
Ga Cu W N
1 1 4 2
Cartesian
0.0000 0.0000 0.0000
1.4118 0.8151 7.3687
0.0000 0.0000 5.1647
0.0000 0.0000 9.5727
1.4118 0.8151 2.2454
1.4118 0.8151 12.4919
0.0000 1.6302 3.6915
0.0000 1.6302 11.0458
```


Record 15
A relaxed structure of Y4GaCuN2. Source: the Open Quantum Materials Database, functional PBE.

POSCAR file:
```
Y4GaCuN2
1.0
3.5089 0.0000 0.0000
-1.7545 3.0388 0.0000
0.0000 0.0000 14.4939
Y Ga Cu N
4 1 1 2
Cartesian
0.0000 0.0000 2.1106
0.0000 0.0000 12.3833
1.7545 1.0129 4.8534
1.7545 1.0129 9.6404
0.0000 0.0000 7.2469
1.7545 1.0129 0.0000
0.0000 2.0259 3.5598
0.0000 2.0259 10.9340
```


Record 16
A relaxed structure of Zr4GaCuN2. Source: the Open Quantum Materials Database, functional PBE.

POSCAR file:
```
Zr4GaCuN2
1.0
3.2714 0.0000 0.0000
-1.6357 2.8332 0.0000
0.0000 0.0000 13.7737
Zr Ga Cu N
4 1 1 2
Cartesian
0.0000 0.0000 2.1081
0.0000 0.0000 11.6656
1.6357 0.9444 4.6563
1.6357 0.9444 9.1174
0.0000 0.0000 6.8869
1.6357 0.9444 0.0000
0.0000 1.8888 3.3852
0.0000 1.8888 10.3885
```


Record 17
A relaxed structure of NaGa2Cu2. Source: the Open Quantum Materials Database, functional PBE.

POSCAR file:
```
NaGa2Cu2
1.0
-2.0429 2.0429 5.2605
2.0429 -2.0429 5.2605
2.0429 2.0429 -5.2605
Na Ga Cu
1 2 2
Cartesian
0.0000 0.0000 0.0000
0.0000 0.0000 3.9960
0.0000 0.0000 6.5249
2.0429 0.0000 2.6302
0.0000 2.0429 2.6302
```


Record 18
A relaxed structure of NaGa6Cu6. Source: the Open Quantum Materials Database, functional PBE.

POSCAR file:
```
NaGa6Cu6
1.0
-2.5796 4.2446 4.3728
2.5796 -4.2446 4.3728
2.5796 4.2446 -4.3728
Na Ga Cu
1 6 6
Cartesian
0.0000 0.0000 0.0000
2.5796 0.0000 1.6320
0.0000 0.0000 3.0224
0.0000 2.9497 0.0000
0.0000 5.5395 0.0000
0.0000 0.0000 5.7231
0.0000 4.2446 2.7408
1.2898 2.1223 -2.1864
1.2898 -2.1223 2.1864
2.5796 2.0281 0.0000
-1.2898 2.1223 2.1864
1.2898 2.1223 2.1864
0.0000 2.2165 4.3728
```


Record 19
A relaxed structure of Na2Sc2Ga2CuPd. Source: the Open Quantum Materials Database, functional PBE.

POSCAR file:
```
Na2Sc2Ga2CuPd
1.0
4.5969 0.0000 0.0000
0.0000 4.5969 0.0000
0.0000 0.0000 6.5333
Na Sc Ga Cu Pd
2 2 2 1 1
Cartesian
0.0000 0.0000 0.0000
2.2984 2.2984 3.2666
0.0000 2.2984 1.6135
2.2984 0.0000 4.9198
0.0000 2.2984 4.9336
2.2984 0.0000 1.5997
2.2984 2.2984 0.0000
0.0000 0.0000 3.2666
```


Record 20
A relaxed structure of NaGaCuS3. Source: the Open Quantum Materials Database, functional PBE.

POSCAR file:
```
NaGaCuS3
1.0
7.3451 0.0000 0.0000
0.0000 3.5230 0.0000
-2.7811 0.0000 9.2275
Na Ga Cu S
2 2 2 6
Cartesian
1.1730 0.8808 1.9769
3.3909 2.6423 7.2506
-0.3598 2.6423 5.5857
4.9238 0.8808 3.6418
0.4732 0.8808 8.3019
4.0907 2.6423 0.9256
-0.6619 2.6423 3.2781
-0.7455 2.6423 9.0516
1.1772 0.8808 6.1019
3.3867 2.6423 3.1256
5.3095 0.8808 0.1759
5.2259 0.8808 5.9494
```


Record 21
A relaxed structure of NaGa2CuS4. Source: the Open Quantum Materials Database, functional PBE.

POSCAR file:
```
NaGa2CuS4
1.0
-2.8364 2.8364 5.2639
2.8364 -2.8364 5.2639
2.8364 2.8364 -5.2639
Na Ga Cu S
1 2 1 4
Cartesian
0.0000 0.0000 0.0000
2.8364 0.0000 2.6319
0.0000 0.0000 5.2639
0.0000 2.8364 2.6319
1.5464 1.5760 -1.4324
4.0969 1.5464 1.4324
1.2900 1.2605 3.8315
-1.2605 1.2900 6.6962
```


Record 22
A relaxed structure of Na4ZnGa2Cu. Source: the Open Quantum Materials Database, functional PBE.

POSCAR file:
```
Na4ZnGa2Cu
1.0
4.7809 0.0000 0.0000
0.0000 4.7809 0.0000
0.0000 0.0000 6.7793
Na Zn Ga Cu
4 1 2 1
Cartesian
0.0000 0.0000 0.0000
0.0000 2.3904 5.0487
2.3904 0.0000 1.7306
2.3904 2.3904 3.3896
2.3904 2.3904 0.0000
0.0000 2.3904 1.7613
2.3904 0.0000 5.0179
0.0000 0.0000 3.3896
```


Record 23
A relaxed structure of NbGa2Cu. Source: the Open Quantum Materials Database, functional PBE.

POSCAR file:
```
NbGa2Cu
1.0
3.9759 0.0000 0.0000
0.0000 3.9759 0.0000
0.0000 0.0000 3.7934
Nb Ga Cu
1 2 1
Cartesian
0.0000 0.0000 0.0000
0.0000 1.9880 1.8967
1.9880 0.0000 1.8967
1.9880 1.9880 0.0000
```


Record 24
A relaxed structure of NbGaCu. Source: the Open Quantum Materials Database, functional PBE.

POSCAR file:
```
NbGaCu
1.0
0.0000 3.0288 3.0288
3.0288 0.0000 3.0288
3.0288 3.0288 0.0000
Nb Ga Cu
1 1 1
Cartesian
0.0000 0.0000 0.0000
4.5432 4.5432 4.5432
1.5144 1.5144 1.5144
```


Record 25
A relaxed structure of NbGaCu2. Source: the Open Quantum Materials Database, functional PBE.

POSCAR file:
```
NbGaCu2
1.0
0.0000 3.0616 3.0616
3.0616 0.0000 3.0616
3.0616 3.0616 0.0000
Nb Ga Cu
1 1 2
Cartesian
0.0000 0.0000 0.0000
4.5924 4.5924 4.5924
1.5308 1.5308 1.5308
3.0616 3.0616 3.0616
```


Record 26
A relaxed structure of NbGa2Cu. Source: the Open Quantum Materials Database, functional PBE.

POSCAR file:
```
NbGa2Cu
1.0
0.0000 3.1533 3.1533
3.1533 0.0000 3.1533
3.1533 3.1533 0.0000
Nb Ga Cu
1 2 1
Cartesian
0.0000 0.0000 0.0000
3.1533 3.1533 3.1533
4.7300 4.7300 4.7300
1.5767 1.5767 1.5767
```


Record 27
A relaxed structure of NbGaCuTc. Source: the Open Quantum Materials Database, functional PBE.

POSCAR file:
```
NbGaCuTc
1.0
0.0000 3.1055 3.1055
3.1055 0.0000 3.1055
3.1055 3.1055 0.0000
Nb Ga Cu Tc
1 1 1 1
Cartesian
0.0000 0.0000 0.0000
3.1055 3.1055 3.1055
4.6582 4.6582 4.6582
1.5527 1.5527 1.5527
```


no.,E (eV for the cell shown)
1,-27.65
2,-15.36
3,-66.97
4,-27.06
5,-27.75
6,-28.52
7,-23.69
8,-23.42
9,-28.80
10,-27.70
11,-68.00
12,-88.10
13,-74.70
14,-74.06
15,-56.48
16,-65.35
17,-14.90
18,-43.52
19,-31.99
20,-47.54
21,-33.40
22,-15.76
23,-20.98
24,-15.29
25,-20.41
26,-19.02
27,-27.39